The following is a DFT calculation (PBE) of crystalline AcPmSmTh at its relaxed geometry.

POSCAR file:
```
AcPmSmTh
1.0
3.697 0.000 0.000
0.000 3.697 0.000
0.000 0.000 10.590
Ac Pm Sm Th
1 1 1 1
Direct
0.000 0.000 0.072
0.500 0.500 0.799
0.500 0.500 0.344
0.000 0.000 0.570
```

Values from the calculation:
Energy of formation   0.0431 eV per atom
Symmetry   No. 99
M_tot   0.0000 μB per atom
Total DFT energy (no corrections)   -5.206 eV/atom

The following is a DFT calculation (PBE) of crystalline AcPm2SmTl2 at its relaxed geometry.

POSCAR file:
```
AcPm2SmTl2
1.0
-4.632 -1.281 2.106
-1.039 -4.828 -5.223
4.682 -7.324 5.839
Ac Pm Sm Tl
2 4 2 4
Direct
0.000 0.951 0.451
0.000 0.451 0.549
0.500 0.058 0.048
0.000 0.342 0.179
0.500 0.558 0.952
0.000 0.842 0.821
0.500 0.174 0.698
0.500 0.674 0.302
0.000 0.296 0.871
0.500 0.225 0.360
0.000 0.796 0.129
0.500 0.725 0.640
```

Values from the calculation:
Energy of formation   -0.2406 eV per atom
Symmetry   No. 26
M_tot   0.0000 μB per atom
Total DFT energy (no corrections)   -4.084 eV/atom